DFT (PBE-GGA) results for Ca2CdCl after structural relaxation.

Values from the calculation:
- crystal system = monoclinic
- ΔE to the lowest computed polymorph (meV per atom) = 0

Structure (CIF):
```
data_Ca2CdCl
_cell_length_a 3.9213
_cell_length_b 3.6625
_cell_length_c 8.3079
_cell_angle_alpha 90.00
_cell_angle_beta 90.09
_cell_angle_gamma 90.00
_space_group_name_H-M_alt 'P 1 2/m 1'
_space_group_IT_number 10
_space_group_name_Hall '-P 2y'
loop_
_atom_site_label
_atom_site_fract_x
_atom_site_fract_y
_atom_site_fract_z
_atom_site_occupancy
Ca1 0.0012 0.0000 0.2331 1
Cd1 0.5000 0.5000 0.0000 1
Cl1 0.0000 0.5000 0.5000 1
```

---

DFT (PBE-GGA) results for Mg5Zn after structural relaxation.

Values from the calculation:
- calculated formation energy (eV/atom) = 0.15
- crystal system = cubic

Structure (CIF):
```
data_Mg5Zn
_cell_length_a 8.1880
_cell_length_b 8.1880
_cell_length_c 8.1880
_cell_angle_alpha 90.00
_cell_angle_beta 90.00
_cell_angle_gamma 90.00
_space_group_name_H-M_alt 'F -4 3 m'
_space_group_IT_number 216
_space_group_name_Hall 'F -4 2 3'
loop_
_atom_site_label
_atom_site_fract_x
_atom_site_fract_y
_atom_site_fract_z
_atom_site_occupancy
Mg1 0.0000 0.0000 0.0000 1
Mg2 0.1250 0.1250 0.3750 1
Zn1 0.2500 0.2500 0.7500 1
```